This record from the Alexandria database describes an optimized crystal structure of CePm5Pb6. The functional is PBE-GGA.

Calculated values
Crystal system   triclinic
ΔE_f   -489.1 meV per atom
Total DFT energy (no corrections)   -4.817 eV per atom
Total magnetic moment   2.17 μB per cell
Energy above the lowest structure with this stoichiometry   0.000 eV per atom
Calculated volume   357.4 Å³ per cell

Cell: 5.8280 7.2058 9.2842 Å, 67.26 84.17 90.05°
Closest atoms and distances in Å follow each position.
Atoms (fractional coordinates):
Pb: 0.1663 0.9159 0.6653  7 Pm 3.42-3.44, 1 Ce 3.44, 4 Pb 3.58-3.64
Pb: 0.1663 0.4186 0.6653  7 Pm 3.41-3.44, 1 Ce 3.44, 4 Pb 3.58-3.64
Pb: 0.4999 0.2525 0.0000  6 Pm 3.42, 2 Ce 3.43-3.44, 4 Pb 3.57-3.64
Pb: 0.8337 0.5814 0.3347  7 Pm 3.41-3.44, 1 Ce 3.44, 4 Pb 3.58-3.64
Pb: 0.5001 0.7475 0.0000  6 Pm 3.42, 2 Ce 3.43-3.44, 4 Pb 3.57-3.64
Pb: 0.8337 0.0841 0.3347  7 Pm 3.42-3.44, 1 Ce 3.44, 4 Pb 3.58-3.64
Pm: 0.6650 0.6672 0.6655  8 Pb 3.41-3.43, 4 Pm 3.60-3.64
Pm: 0.6673 0.1657 0.6684  8 Pb 3.42-3.44, 3 Pm 3.60-3.63, 1 Ce 3.61
Pm: 0.3327 0.8343 0.3316  8 Pb 3.42-3.44, 3 Pm 3.60-3.63, 1 Ce 3.61
Pm: 0.3350 0.3328 0.3345  8 Pb 3.41-3.43, 4 Pm 3.60-3.64
Pm: 0.0000 0.5000 0.0000  8 Pb 3.42-3.43, 2 Ce 3.60, 2 Pm 3.64
Ce: 0.0000 0.0000 0.0000  8 Pb 3.43-3.44, 4 Pm 3.60-3.61

This record from the Alexandria database describes an optimized crystal structure of Ce2PmPb9. The functional is PBE-GGA.

Calculated values
Crystal system   tetragonal
ΔE_f   -351.8 meV per atom
Total DFT energy (no corrections)   -4.518 eV per atom
Total magnetic moment   2.05 μB per cell
Calculated volume   355.7 Å³ per cell

Cell: 4.9118 4.9118 14.7435 Å, 90.00 90.00 90.00°
Closest atoms and distances in Å follow each position.
Atoms (fractional coordinates):
Pb: 0.5000 0.0000 0.8326  8 Pb 3.47-3.48, 2 Pm 3.48, 2 Ce 3.49
Pb: 0.0000 0.5000 0.1674  8 Pb 3.47-3.48, 2 Pm 3.48, 2 Ce 3.49
Pb: 0.5000 0.0000 0.1674  8 Pb 3.47-3.48, 2 Pm 3.48, 2 Ce 3.49
Pb: 0.5000 0.0000 0.5000  4 Ce 3.45, 8 Pb 3.47
Pb: 0.0000 0.5000 0.5000  4 Ce 3.45, 8 Pb 3.47
Pb: 0.5000 0.5000 0.3335  8 Pb 3.47, 4 Ce 3.47
Pb: 0.5000 0.5000 0.0000  4 Pm 3.47, 8 Pb 3.48
Pb: 0.5000 0.5000 0.6665  8 Pb 3.47, 4 Ce 3.47
Pb: 0.0000 0.5000 0.8326  8 Pb 3.47-3.48, 2 Pm 3.48, 2 Ce 3.49
Ce: 0.0000 0.0000 0.6644  12 Pb 3.45-3.49
Ce: 0.0000 0.0000 0.3356  12 Pb 3.45-3.49
Pm: 0.0000 0.0000 0.0000  12 Pb 3.47-3.48

This record from the Alexandria database describes an optimized crystal structure of CePm2Pb2. The functional is PBE-GGA.

Calculated values
Crystal system   orthorhombic
ΔE_f   -406.2 meV per atom
Total DFT energy (no corrections)   -4.977 eV per atom
Total magnetic moment   2.68 μB per cell
Energy above the lowest structure with this stoichiometry   0.000 eV per atom
Calculated volume   323.0 Å³ per cell

Cell: 5.0681 6.6871 9.8603 Å, 90.00 104.89 90.00°
Closest atoms and distances in Å follow each position.
Atoms (fractional coordinates):
Pb: 0.5799 0.9781 0.1599  6 Pm 3.32-3.40, 3 Ce 3.35-3.38
Pb: 0.1929 0.4741 0.3859  2 Ce 3.12, 4 Pm 3.34-3.35
Pb: 0.8071 0.9741 0.6141  2 Ce 3.12, 4 Pm 3.34-3.35
Pb: 0.4201 0.4781 0.8401  6 Pm 3.32-3.40, 3 Ce 3.35-3.38
Ce: 0.4025 0.9791 0.8050  5 Pb 3.12-3.38
Ce: 0.5975 0.4791 0.1950  5 Pb 3.12-3.38
Pm: 0.9992 0.7281 0.9984  2 Pm 3.34, 4 Pb 3.39-3.40, 4 Ce 3.55-3.56
Pm: 0.8073 0.4750 0.6146  6 Pb 3.32-3.35
Pm: 0.1927 0.9750 0.3854  6 Pb 3.32-3.35
Pm: 0.0008 0.2281 0.0016  2 Pm 3.34, 4 Pb 3.39-3.40, 4 Ce 3.55-3.56

This record from the Alexandria database describes an optimized crystal structure of Ce2Pm3Pb6. The functional is PBE-GGA.

Calculated values
Crystal system   tetragonal
ΔE_f   -50.3 meV per atom
Total DFT energy (no corrections)   -4.448 eV per atom
Total magnetic moment   2.13 μB per cell
Calculated volume   391.0 Å³ per cell

Cell: 5.9150 5.9150 11.9324 Å, 104.35 104.35 90.00°
Closest atoms and distances in Å follow each position.
Atoms (fractional coordinates):
Pb: 0.5953 0.0953 0.1907  2 Ce 3.05, 2 Pm 3.25
Pb: 0.3000 0.3000 0.5999  1 Ce 3.09, 1 Pm 3.21
Pb: 0.9047 0.4047 0.8093  2 Ce 3.05, 2 Pm 3.25
Pb: 0.7000 0.7000 0.4001  1 Ce 3.09, 1 Pm 3.21
Pb: 0.4047 0.9047 0.8093  2 Ce 3.05, 2 Pm 3.25
Pb: 0.0953 0.5953 0.1907  2 Ce 3.05, 2 Pm 3.25
Ce: 0.5619 0.5619 0.1238  1 Ce 2.77, 5 Pb 3.05-3.09
Ce: 0.4381 0.4381 0.8762  1 Ce 2.77, 5 Pb 3.05-3.09
Pm: 0.1561 0.1561 0.3122  5 Pb 3.21-3.25, 1 Pm 3.49
Pm: 0.0000 0.0000 0.0000  2 Pm 3.49, 8 Pb 3.65
Pm: 0.8439 0.8439 0.6878  5 Pb 3.21-3.25, 1 Pm 3.49

This record from the Alexandria database describes an optimized crystal structure of Ce3PmPb5. The functional is PBE-GGA.

Calculated values
Crystal system   hexagonal
ΔE_f   -411.5 meV per atom
Total DFT energy (no corrections)   -4.977 eV per atom
Total magnetic moment   4.47 μB per cell
Calculated volume   541.8 Å³ per cell

Cell: 6.6721 9.6836 9.6836 Å, 120.00 90.00 90.00°
Closest atoms and distances in Å follow each position.
Atoms (fractional coordinates):
Pb: 0.5000 0.3333 0.6667  2 Pb 3.34, 6 Ce 3.45
Pb: 0.5000 0.6667 0.3333  2 Pb 3.34, 6 Ce 3.45
Pb: 0.7500 0.2885 0.2885  5 Ce 3.20-3.46, 2 Pm 3.25
Pb: 0.0000 0.3333 0.6667  2 Pb 3.34, 6 Ce 3.45
Pb: 0.7500 0.0000 0.7115  5 Ce 3.20-3.46, 2 Pm 3.25
Pb: 0.0000 0.6667 0.3333  2 Pb 3.34, 6 Ce 3.45
Pb: 0.2500 0.2885 0.0000  5 Ce 3.20-3.46, 2 Pm 3.25
Pb: 0.2500 0.0000 0.2885  5 Ce 3.20-3.46, 2 Pm 3.25
Pb: 0.2500 0.7115 0.7115  5 Ce 3.20-3.46, 2 Pm 3.25
Pb: 0.7500 0.7115 0.0000  5 Ce 3.20-3.46, 2 Pm 3.25
Ce: 0.2500 0.3815 0.3815  9 Pb 3.20-3.46
Ce: 0.7500 0.0000 0.3815  9 Pb 3.20-3.46
Ce: 0.7500 0.3815 0.0000  9 Pb 3.20-3.46
Ce: 0.2500 0.0000 0.6185  9 Pb 3.20-3.46
Ce: 0.7500 0.6185 0.6185  9 Pb 3.20-3.46
Ce: 0.2500 0.6185 0.0000  9 Pb 3.20-3.46
Pm: 0.5000 0.0000 0.0000  6 Pb 3.25, 2 Pm 3.34
Pm: 0.0000 0.0000 0.0000  6 Pb 3.25, 2 Pm 3.34

This record from the Alexandria database describes an optimized crystal structure of Ce2PmPb. The functional is PBE-GGA.

Calculated values
Crystal system   tetragonal
ΔE_f   -268.1 meV per atom
Total DFT energy (no corrections)   -5.350 eV per atom
Total magnetic moment   1.90 μB per cell
Energy above the lowest structure with this stoichiometry   0.034 eV per atom
Calculated volume   115.8 Å³ per cell

Cell: 5.1426 4.7463 4.7463 Å, 90.00 90.00 90.00°
Closest atoms and distances in Å follow each position.
Atoms (fractional coordinates):
Ce: 0.0000 0.0000 0.5000  4 Ce 3.36, 4 Pm 3.50, 4 Pb 3.50
Ce: 0.0000 0.5000 0.0000  4 Ce 3.36, 4 Pb 3.50, 4 Pm 3.50
Pb: 0.5000 0.5000 0.5000  4 Pm 3.36, 8 Ce 3.50
Pm: 0.5000 0.0000 0.0000  4 Pb 3.36, 8 Ce 3.50

This record from the Alexandria database describes an optimized crystal structure of CePm8Pb5. The functional is PBE-GGA.

Calculated values
Crystal system   tetragonal
ΔE_f   -343.0 meV per atom
Total DFT energy (no corrections)   -4.806 eV per atom
Total magnetic moment   3.35 μB per cell
Calculated volume   451.9 Å³ per cell

Cell: 8.3734 8.3734 8.3734 Å, 109.39 109.64 109.39°
Closest atoms and distances in Å follow each position.
Atoms (fractional coordinates):
Pm: 0.6321 0.9020 0.8659  5 Pb 3.23-3.51, 1 Ce 3.33, 1 Pm 3.47
Pm: 0.4827 0.6059 0.2479  5 Pb 3.20-3.48
Pm: 0.1341 0.7662 0.0361  5 Pb 3.23-3.51, 1 Ce 3.33, 1 Pm 3.47
Pm: 0.6419 0.3941 0.8768  5 Pb 3.20-3.48
Pm: 0.1232 0.7651 0.5173  5 Pb 3.20-3.48
Pm: 0.9639 0.0980 0.7301  5 Pb 3.23-3.51, 1 Ce 3.33, 1 Pm 3.47
Pm: 0.7521 0.2349 0.3581  5 Pb 3.20-3.48
Pm: 0.2699 0.2338 0.3679  5 Pb 3.23-3.51, 1 Ce 3.33, 1 Pm 3.47
Pb: 0.0137 0.3832 0.1393  8 Pm 3.20-3.51
Pb: 0.7561 0.6168 0.6306  8 Pm 3.20-3.51
Pb: 0.3694 0.1255 0.9863  8 Pm 3.20-3.51
Pb: 0.8607 0.8745 0.2439  8 Pm 3.20-3.51
Pb: 0.5000 0.0000 0.5000  8 Pm 3.20-3.36
Ce: 0.2500 0.5000 0.7500  8 Pm 3.33-3.59

This record from the Alexandria database describes an optimized crystal structure of Ce3PmPb3. The functional is PBE-GGA.

Calculated values
Crystal system   hexagonal
ΔE_f   -248.7 meV per atom
Total DFT energy (no corrections)   -5.060 eV per atom
Total magnetic moment   5.98 μB per cell
Calculated volume   423.0 Å³ per cell

Cell: 5.5137 9.4124 9.4124 Å, 120.00 90.00 90.00°
Closest atoms and distances in Å follow each position.
Atoms (fractional coordinates):
Ce: 0.7500 0.7692 0.9910  4 Pb 3.18-3.43, 4 Ce 3.48
Ce: 0.2500 0.7783 0.7692  4 Pb 3.18-3.43, 4 Ce 3.48
Ce: 0.2500 0.9910 0.2217  4 Pb 3.18-3.43, 4 Ce 3.48
Ce: 0.7500 0.0090 0.7783  4 Pb 3.18-3.43, 4 Ce 3.48
Ce: 0.7500 0.2217 0.2308  4 Pb 3.18-3.43, 4 Ce 3.48
Ce: 0.2500 0.2308 0.0090  4 Pb 3.18-3.43, 4 Ce 3.48
Pm: 0.7500 0.3333 0.6667  9 Pb 3.42-3.55, 3 Ce 3.69
Pm: 0.2500 0.6667 0.3333  9 Pb 3.42-3.55, 3 Ce 3.69
Pb: 0.7500 0.4545 0.0756  4 Ce 3.18-3.43, 2 Pb 3.40, 3 Pm 3.42-3.55
Pb: 0.2500 0.3789 0.4545  4 Ce 3.18-3.43, 2 Pb 3.40, 3 Pm 3.42-3.55
Pb: 0.7500 0.6211 0.5455  4 Ce 3.18-3.43, 2 Pb 3.40, 3 Pm 3.42-3.55
Pb: 0.7500 0.9244 0.3789  4 Ce 3.18-3.43, 2 Pb 3.40, 3 Pm 3.42-3.55
Pb: 0.2500 0.5455 0.9244  4 Ce 3.18-3.43, 2 Pb 3.40, 3 Pm 3.42-3.55
Pb: 0.2500 0.0756 0.6211  4 Ce 3.18-3.43, 2 Pb 3.40, 3 Pm 3.42-3.55